CaMn2F, relaxed, DFT PBE with a Hubbard U; energy above the most stable polymorph in this dataset = 36.27 kJ/mol of atoms; Fermi-level density of states = 0.561 states/eV/atom
1.0
-4.892 -0.291 1.729
-3.616 3.226 -1.877
-3.749 -1.822 -3.104
Mn F Ca
2 1 1
direct
0.750 0.750 0.750
0.250 0.250 0.250
0.000 0.000 0.000
0.500 0.500 0.500